Density functional theory data (PBE) for a relaxed LiPmSeBr crystal.

Values from the calculation:
D(E_F)	4.1	states/eV per cell
final energy	-4.4716	eV per atom
symmetry	R-3m

The structure in CIF format:
```
data_LiPmSeBr
_chemical_formula_sum 'Li2 Pm2 Se2 Br2'
_cell_length_a 14.725
_cell_length_b 14.725
_cell_length_c 14.725
_cell_angle_alpha 16.04
_cell_angle_beta 16.04
_cell_angle_gamma 16.04
_symmetry_space_group_name_H-M 'P 1'
_symmetry_Int_Tables_number 1
_symmetry_space_group_name_Hall 'P 1'
loop_
_atom_site_label
_atom_site_type_symbol
_atom_site_fract_x
_atom_site_fract_y
_atom_site_fract_z
_atom_site_occupancy
Li1 Li 0.188 0.188 0.188 1
Li2 Li 0.812 0.812 0.812 1
Pm1 Pm 0.418 0.418 0.418 1
Pm2 Pm 0.582 0.582 0.582 1
Se1 Se 0.127 0.127 0.127 1
Se2 Se 0.873 0.873 0.873 1
Br1 Br 0.290 0.290 0.290 1
Br2 Br 0.710 0.710 0.710 1
```